! CoIr2Cl | the Alexandria database | meta-GGA SCAN | PBEsol geometry; values from VASP
&SYSTEM
  ibrav = 0, nat = 4, ntyp = 3
/
ATOMIC_SPECIES
Co 58.93 Co.upf
Cl 35.45 Cl.upf
Ir 192.22 Ir.upf
CELL_PARAMETERS angstrom
2.7228 0.0000 0.0000
0.0000 4.5369 0.0000
-1.3614 -2.2684 4.3572
ATOMIC_POSITIONS angstrom
Co 0.0000 2.2684 2.0813
Cl 1.3614 2.2684 0.0820
Ir 1.3614 0.0000 2.2472
Ir 1.3614 2.2684 4.3039
! Energy   -40.93 eV per atom
! Polymorph energy (0 for the lowest one)   0.4566 eV per atom
! Energy relative to the elements, uncorrected   363 kJ/mol of formula units
! Calculated volume   13.5 Å³ per atom
! Space-group type   Imm2 (44)

=====

! BeIn2Mo | the Alexandria database | meta-GGA SCAN | PBEsol geometry; values from VASP
&SYSTEM
  ibrav = 0, nat = 4, ntyp = 3
/
ATOMIC_SPECIES
In 114.82 In.upf
Mo 95.94 Mo.upf
Be 9.01 Be.upf
CELL_PARAMETERS angstrom
-1.2963 -2.6758 -0.5112
1.1539 -2.4966 1.2398
-5.1296 -0.5987 7.2394
ATOMIC_POSITIONS angstrom
In -1.2353 -1.4611 1.8782
In -4.0367 -4.3100 6.0898
Mo -2.6360 -2.8855 3.9840
Be 0.0000 0.0000 0.0000
! Energy   -25.99 eV per atom
! Calculated volume   17.2 Å³ per atom
! Formation energy from the elements   0.513 eV per atom
! Space-group type   R-3m (166)